[1]
Material: Pu3Zn5Rh2
Method: DFT, PBE-GGA
State: optimized geometry

Its density is 10.79 g cm⁻³. For the total energy, the calculation gives -6.641 eV per atom.

It has space group Ibam (No. 72), with a = 11.567 Å, b = 11.827 Å, c = 5.689 Å, α = 90.00°, β = 90.00° and γ = 90.00°. The asymmetric unit holds Pu at (0.000, 0.000, 0.250), Pu at (0.136, 0.247, 0.000), Zn at (0.000, 0.500, 0.250), Zn at (0.106, 0.356, 0.500), Zn at (0.233, 0.500, 0.250) and Rh at (0.148, 0.149, 0.500).

[2]
Material: Pu5ZnRh6
Method: DFT, PBE-GGA
State: optimized geometry

Its density is 13.83 g cm⁻³. For the total energy, the calculation gives -10.144 eV per atom.

It has space group Immm (No. 71), with a = 4.655 Å, b = 6.811 Å, c = 14.412 Å, α = 90.00°, β = 90.00° and γ = 90.00°. The asymmetric unit holds Pu at (0.000, 0.000, 0.000), Pu at (0.000, 0.000, 0.344), Pu at (0.000, 0.500, 0.320), Zn at (0.000, 0.500, 0.000), Rh at (0.000, 0.256, 0.500) and Rh at (0.000, 0.257, 0.154).

Number 1: formation energy -2.34 eV/f.u., total magnetization 65.2 μB per cell. Number 2: formation energy -4.68 eV/f.u., total magnetization 9.6 μB per cell.